1.
LiTaCl2 (PBE-GGA, relaxed); formation energy without anion corrections = -0.741 eV/atom; energy above the lowest structure with this stoichiometry = 0 meV/atom; Fermi-level density of states = 2.35 states/eV/f.u.
1.0
1.853 0.000 7.953
-0.926 1.604 7.953
-0.926 -1.604 7.953
Ta Cl Li
1 2 1
Direct
0.000 0.000 0.000 Ta
0.102 0.102 0.102 Cl
0.898 0.898 0.898 Cl
0.500 0.500 0.500 Li

2.
LiTa3Cl (PBE-GGA, relaxed); formation energy without anion corrections = 1.012 eV/atom; energy above the lowest structure with this stoichiometry = 0 meV/atom; Fermi-level density of states = 6.62 states/eV/f.u.
1.0
-1.873 1.341 -3.934
-3.472 -2.877 0.673
-2.285 3.273 2.203
Cl Ta Li
1 3 1
Direct
0.000 0.000 0.000 Cl
0.000 0.000 0.500 Ta
0.500 0.000 0.000 Ta
0.000 0.500 0.000 Ta
0.500 0.500 0.500 Li

3.
LiTaCl2 (PBE-GGA, relaxed); formation energy without anion corrections = -0.414 eV/atom; energy above the lowest structure with this stoichiometry = 327 meV/atom; Fermi-level density of states = 2.25 states/eV/f.u.
1.0
7.485 0.100 -0.010
5.050 5.526 0.010
-5.680 -4.123 2.604
Cl Li Ta
2 1 1
Direct
0.892 0.892 0.000 Cl
0.608 0.608 0.000 Cl
0.250 0.750 0.500 Li
0.750 0.250 0.500 Ta

4.
LiTaCl2 (PBE-GGA, relaxed); formation energy without anion corrections = -0.042 eV/atom; energy above the lowest structure with this stoichiometry = 700 meV/atom; Fermi-level density of states = 0.03 states/eV/f.u.
1.0
0.000 3.109 3.109
3.109 0.000 3.109
3.109 3.109 0.000
Cl Li Ta
2 1 1
Direct
0.750 0.750 0.750 Cl
0.250 0.250 0.250 Cl
0.000 0.000 0.000 Li
0.500 0.500 0.500 Ta

5.
LiTaCl2 (PBE-GGA, relaxed); formation energy without anion corrections = -0.579 eV/atom; energy above the lowest structure with this stoichiometry = 162 meV/atom; Fermi-level density of states = 2.17 states/eV/f.u.
1.0
3.058 0.000 0.000
0.000 3.058 0.191
0.000 -0.556 7.272
Cl Ta Li
2 1 1
Direct
0.000 0.743 0.466 Cl
0.000 0.757 0.034 Cl
0.500 0.750 0.750 Ta
0.500 0.250 0.250 Li

6.
LiTaCl (PBE-GGA, relaxed); formation energy without anion corrections = 0.340 eV/atom; energy above the lowest structure with this stoichiometry = 533 meV/atom; Fermi-level density of states = 2.13 states/eV/f.u.
1.0
-2.567 2.074 -2.840
1.779 -3.828 -1.066
-2.392 -1.424 1.122
Li Ta Cl
1 1 1
Direct
0.667 0.333 0.333 Li
0.333 0.667 0.833 Ta
0.000 0.000 0.833 Cl

7.
LiTaCl (PBE-GGA, relaxed); formation energy without anion corrections = -0.096 eV/atom; energy above the lowest structure with this stoichiometry = 97 meV/atom; Fermi-level density of states = 2.11 states/eV/f.u.
1.0
7.126 -0.011 0.007
6.134 2.879 -0.001
0.992 -1.337 2.563
Cl Ta Li
1 1 1
Direct
0.993 0.993 0.007 Cl
0.656 0.656 0.344 Ta
0.351 0.351 0.649 Li

8.
LiTaCl2 (PBE-GGA, relaxed); formation energy without anion corrections = -0.133 eV/atom; energy above the lowest structure with this stoichiometry = 608 meV/atom; Fermi-level density of states = 2.02 states/eV/f.u.
1.0
-0.038 1.242 -2.808
0.264 -6.116 -2.709
-4.027 -0.165 -0.018
Cl Li Ta
2 1 1
Direct
0.500 0.500 0.000 Cl
0.000 0.000 0.000 Cl
0.500 0.000 0.500 Li
0.000 0.500 0.500 Ta

9.
LiTaCl2 (PBE-GGA, relaxed); formation energy without anion corrections = -0.126 eV/atom; energy above the lowest structure with this stoichiometry = 615 meV/atom; Fermi-level density of states = 0.00 states/eV/f.u.
1.0
-1.434 -5.448 -1.768
0.969 -2.028 5.460
-4.537 -2.948 2.903
Cl Li Ta
4 2 2
Direct
0.875 0.846 0.750 Cl
0.375 0.404 0.750 Cl
0.596 0.125 0.250 Cl
0.154 0.625 0.250 Cl
0.500 0.500 0.000 Li
0.250 0.750 0.500 Li
0.750 0.250 0.500 Ta
0.000 0.000 0.000 Ta

10.
Li2TaCl6 (PBE-GGA, relaxed); formation energy without anion corrections = -1.457 eV/atom; Fermi-level density of states = 4.49 states/eV/f.u.
1.0
-3.938 3.851 -2.462
-1.289 -4.053 -4.279
-8.198 -4.238 6.485
Cl Ta Li
12 2 4
Direct
0.805 0.195 0.158 Cl
0.695 0.695 0.342 Cl
0.218 0.782 0.500 Cl
0.782 0.218 0.500 Cl
0.695 0.695 0.658 Cl
0.305 0.305 0.658 Cl
0.195 0.805 0.842 Cl
0.282 0.282 0.000 Cl
0.805 0.195 0.842 Cl
0.305 0.305 0.342 Cl
0.718 0.718 0.000 Cl
0.195 0.805 0.158 Cl
0.000 0.000 0.000 Ta
0.500 0.500 0.500 Ta
0.000 0.000 0.674 Li
0.000 0.000 0.326 Li
0.500 0.500 0.174 Li
0.500 0.500 0.826 Li

11.
LiTaCl6 (PBE-GGA, relaxed); formation energy without anion corrections = -1.450 eV/atom; energy above the lowest structure with this stoichiometry = 0 meV/atom; Fermi-level density of states = 0.00 states/eV/f.u.
1.0
6.785 -0.322 -1.291
-2.363 6.368 -1.291
0.376 0.514 6.251
Cl Ta Li
6 1 1
Direct
0.730 0.022 0.741 Cl
0.022 0.730 0.741 Cl
0.270 0.978 0.259 Cl
0.248 0.248 0.848 Cl
0.978 0.270 0.259 Cl
0.752 0.752 0.152 Cl
0.000 0.000 0.000 Ta
0.000 0.000 0.500 Li

12.
LiTaCl2 (PBE-GGA, relaxed); formation energy without anion corrections = -0.369 eV/atom; energy above the lowest structure with this stoichiometry = 372 meV/atom; Fermi-level density of states = 1.64 states/eV/f.u.
1.0
-2.910 4.657 -3.335
-5.178 3.435 -1.635
-2.192 6.723 1.912
Cl Ta Li
2 1 1
Direct
0.206 0.206 0.212 Cl
0.109 0.109 0.833 Cl
0.711 0.711 0.938 Ta
0.474 0.474 0.517 Li

Question: Number 2 is which compound?
Answer: LiTa3Cl

What did the ninth record say?
LiTaCl2 (PBE-GGA, relaxed); formation energy without anion corrections = -0.126 eV/atom; energy above the lowest structure with this stoichiometry = 615 meV/atom; Fermi-level density of states = 0.00 states/eV/f.u.
1.0
-1.434 -5.448 -1.768
0.969 -2.028 5.460
-4.537 -2.948 2.903
Cl Li Ta
4 2 2
Direct
0.875 0.846 0.750 Cl
0.375 0.404 0.750 Cl
0.596 0.125 0.250 Cl
0.154 0.625 0.250 Cl
0.500 0.500 0.000 Li
0.250 0.750 0.500 Li
0.750 0.250 0.500 Ta
0.000 0.000 0.000 Ta

Question: What is the Fermi-level density of states in the fifth record?
Answer: 2.17 states/eV/f.u.